Computed, not measured: an optimized crystal structure of Cr3RhI at the PBE level of DFT.

Computed properties:
- formation energy from raw total energies (eV/atom) = 1.068
- DOS(E_F) (states/eV/f.u.) = 8.9

Cell: 4.897 4.897 4.897 Å, 90.00 90.00 90.00°
Space group Pm-3m (No. 221)
Unique sites:
Cr: 0.000 0.000 0.500
Rh: 0.000 0.000 0.000
I: 0.500 0.500 0.500